1.
Material: LiMgNb3
Method: DFT, PBE
State: optimized geometry

The structure in extended XYZ format:
```
5
Lattice="4.830 0.000 0.000 0.000 4.830 0.000 0.000 0.000 4.830" Properties=species:S:1:pos:R:3 pbc="T T T"
Nb 0.000 2.415 0.000
Nb 2.415 0.000 0.000
Nb 0.000 0.000 2.415
Li 2.415 2.415 2.415
Mg 0.000 0.000 0.000
```

**Space group**: Pm-3m
**Polymorph energy (0 for the lowest one)**: 3.864 eV/f.u.
**ΔH_f (0 K)**: 1780 meV per atom

---

2.
Material: LiMgNb3
Method: DFT, PBE
State: optimized geometry

The structure in extended XYZ format:
```
5
Lattice="-0.270 -3.828 -2.353 1.097 -2.342 3.684 -4.357 -0.352 1.073" Properties=species:S:1:pos:R:3 pbc="T T T"
Mg -1.765 -3.261 1.203
Nb 0.549 -1.171 1.842
Nb -2.179 -0.176 0.537
Nb -0.135 -1.914 -1.176
Li 0.000 0.000 0.000
```

**Space group**: Pm-3m
**Polymorph energy (0 for the lowest one)**: 0.000 eV/f.u.
**ΔH_f (0 K)**: 1007 meV per atom